No. 1
An optimized crystal structure of Y10Ho4Pu, computed with GGA-PBE.

abc: 9.743 9.743 10.420
angles: 90.00 90.00 90.00
Space group I4/m (No. 87)
One atom of each set of equivalent atoms:
Y1 0.000 0.500 0.250 [4 per cell]
Y2 0.114 0.212 0.160 [16 per cell]
Ho1 0.066 0.328 0.500 [8 per cell]
Pu1 0.000 0.000 0.500 [2 per cell]

## Properties
E_form   0.39 eV per atom
Spin magnetization   11.7 μB per cell
Calculated density   6.0 g cm⁻³

=====

No. 2
An optimized crystal structure of K3NaAu3, computed with GGA-PBE.

abc: 10.951 11.706 7.836
angles: 90.00 91.27 90.00
Space group C2/m (No. 12)
One atom of each set of equivalent atoms:
K1 0.000 0.170 0.000 [4 per cell]
K2 0.000 0.259 0.500 [4 per cell]
K3 0.183 0.500 0.104 [4 per cell]
Na1 0.223 0.000 0.374 [4 per cell]
Au1 0.053 0.000 0.672 [4 per cell]
Au2 0.236 0.280 0.814 [8 per cell]

## Properties
E_form   -0.23 eV per atom
Spin magnetization   0.0 μB per cell
Polymorph energy (0 for the lowest one)   40 kJ/mol of formula units
Calculated density   4.8 g cm⁻³

=====

No. 3
An optimized crystal structure of DyHo3Er2Se6, computed with GGA-PBE.

abc: 17.660 4.041 8.135
angles: 90.00 103.59 90.00
Space group C2/m (No. 12)
One atom of each set of equivalent atoms:
Dy1 0.000 0.000 0.000 [2 per cell]
Ho1 0.000 0.000 0.500 [2 per cell]
Ho2 0.166 0.500 0.833 [4 per cell]
Er1 0.166 0.500 0.332 [4 per cell]
Se1 0.001 0.500 0.252 [4 per cell]
Se2 0.167 0.000 0.582 [4 per cell]
Se3 0.168 0.000 0.085 [4 per cell]

## Properties
Formation energy without anion corrections   -1.716 eV/atom
Spin magnetization   0.0 μB per cell
Calculated density   8.6 g cm⁻³

=====

No. 4
An optimized crystal structure of MnTcAg3, computed with GGA-PBE.

abc: 4.836 4.836 4.836
angles: 90.00 90.00 90.00
Space group Pm-3m (No. 221)
One atom of each set of equivalent atoms:
Mn1 0.000 0.000 0.000 [1 per cell]
Tc1 0.500 0.500 0.500 [1 per cell]
Ag1 0.000 0.000 0.500 [3 per cell]

## Properties
E_form   1.48 eV per atom
Spin magnetization   7.9 μB per cell
Polymorph energy (0 for the lowest one)   0 kJ/mol of formula units
Calculated density   7.0 g cm⁻³

=====

No. 5
An optimized crystal structure of PrErRhI, computed with GGA-PBE.

abc: 4.1138 4.1138 24.2288
angles: 90.00 90.00 120.00
Space group R3m (No. 160, hexagonal axes)
One atom of each set of equivalent atoms:
Pr1 0.0000 0.0000 0.0000 [3 per cell]
Er1 0.0000 0.0000 0.2111 [3 per cell]
Rh1 0.0000 0.0000 0.6013 [3 per cell]
I1 0.0000 0.0000 0.7752 [3 per cell]

## Properties
Formation energy without anion corrections   -0.929 eV/atom
Spin magnetization   0.0 μB per cell
Calculated density   7.5 g cm⁻³

=====

No. 6
An optimized crystal structure of YZrIr3, computed with GGA-PBE.

abc: 4.869 4.869 4.869
angles: 90.00 90.00 90.00
Space group Pm-3m (No. 221)
One atom of each set of equivalent atoms:
Y1 0.000 0.000 0.000 [1 per cell]
Zr1 0.500 0.500 0.500 [1 per cell]
Ir1 0.000 0.500 0.500 [3 per cell]

## Properties
E_form   0.54 eV per atom
Spin magnetization   0.0 μB per cell
Polymorph energy (0 for the lowest one)   0 kJ/mol of formula units
Calculated density   10.9 g cm⁻³